Entry 1:
An optimized crystal structure of MgMoOs2, computed with PBE.

magnetization: 0.00 μB per cell
DFT total energy: -34.153 eV for the cell shown

Lattice parameters (Å, degrees): 5.242 5.242 4.703 67.68 67.68 31.42
Sites, in units of the cell vectors:
Mg 0.490 0.490 0.562
Mo 0.272 0.272 0.176
Os 0.008 0.008 0.063
Os 0.730 0.730 0.699

=====

Entry 2:
An optimized crystal structure of MgMoOs2, computed with PBE.

magnetization: 0.00 μB per cell
DFT total energy: -33.852 eV for the cell shown

Lattice parameters (Å, degrees): 2.764 4.124 5.319 90.00 90.00 90.00
Sites, in units of the cell vectors:
Mg 0.000 0.000 0.489
Mo 0.500 0.500 0.755
Os 0.000 0.000 0.994
Os 0.500 0.500 0.262

=====

Entry 3:
An optimized crystal structure of Mg2MoOs, computed with PBE.

magnetization: 0.00 μB per cell
DFT total energy: -24.078 eV for the cell shown
energy above the lowest structure with this stoichiometry: 255 meV/atom

Lattice parameters (Å, degrees): 3.811 3.811 4.490 90.00 90.00 90.00
Sites, in units of the cell vectors:
Mg 0.000 0.000 0.000
Mg 0.500 0.500 0.000
Mo 0.500 0.000 0.500
Os 0.000 0.500 0.500

=====

Entry 4:
An optimized crystal structure of MgMoOs2, computed with PBE.

magnetization: 0.00 μB per cell
DFT total energy: -34.482 eV for the cell shown

Lattice parameters (Å, degrees): 3.107 3.107 6.300 90.00 90.00 90.00
Sites, in units of the cell vectors:
Mg 0.500 0.500 0.250
Mo 0.500 0.500 0.750
Os 0.000 0.000 0.990
Os 0.000 0.000 0.510